[1]
VASP calculation (PBE-GGA) on a relaxed structure of Ba2LaZrTa.

a = 6.0742 Å, b = 6.0742 Å, c = 5.1780 Å
α = 90.00°, β = 90.00°, γ = 90.00°
Fractional positions:
Ba 0.0000 0.5000 0.0000
Ba 0.5000 0.0000 0.0000
La 0.0000 0.0000 0.0000
Zr 0.5000 0.5000 0.5000
Ta 0.0000 0.0000 0.5000

=====

[2]
VASP calculation (PBE-GGA) on a relaxed structure of PmDyGeCl.

a = 5.0956 Å, b = 5.0956 Å, c = 5.0956 Å
α = 60.00°, β = 60.00°, γ = 60.00°
Fractional positions:
Pm 0.0000 0.0000 0.0000
Dy 0.5000 0.5000 0.5000
Ge 0.7500 0.7500 0.7500
Cl 0.2500 0.2500 0.2500

=====

| no. | raw total energy (eV for the cell shown) | volume (Å³ per atom) | magnetic moment (μB per formula unit) |
| --- | --- | --- | --- |
| 1 | -21.30 | 38.2 | 0.2 |
| 2 | -19.82 | 23.4 | 0.0 |